# Rb2VPtF6 PBE+U relaxed
data_Rb2VPtF6
_chemical_formula_sum 'Rb4 V2 Pt2 F12'
_cell_length_a 6.6254
_cell_length_b 6.6254
_cell_length_c 8.2413
_cell_angle_alpha 90.00
_cell_angle_beta 90.00
_cell_angle_gamma 90.00
_space_group_name_H-M_alt 'I 4/m m m'
_space_group_IT_number 139
_space_group_name_Hall '-I 4 2'
loop_
_atom_site_label
_atom_site_type_symbol
_atom_site_fract_x
_atom_site_fract_y
_atom_site_fract_z
Rb1 Rb 0.0000 0.5000 0.2500
V1 V 0.0000 0.0000 0.0000
Pt1 Pt 0.0000 0.0000 0.5000
F1 F 0.0000 0.0000 0.2497
F2 F 0.2075 0.2075 0.0000
# - Energy: -97.484 eV per cell